# 1
This record from Alexandria via LeMat-Bulk describes a crystal of SrCa2Si relaxed with PBEsol. The functional is meta-GGA SCAN.

Calculated values
E_tot = -51.5 eV/cell
Symmetry = I4/mmm, No. 139

a = 5.977 Å, b = 5.977 Å, c = 5.977 Å
α = 131.70°, β = 131.70°, γ = 70.71°
Element x y z (fractional)
1 Sr 0.000 0.000 0.000
2 Ca 0.250 0.750 0.500
3 Ca 0.750 0.250 0.500
4 Si 0.500 0.500 0.000


# 2
This record from Alexandria via LeMat-Bulk describes a crystal of SrCa2Si relaxed with PBEsol. The functional is meta-GGA SCAN.

Calculated values
E_tot = -52.2 eV/cell
Symmetry = P4/mmm, No. 123

a = 3.645 Å, b = 3.645 Å, c = 9.936 Å
α = 90.00°, β = 90.00°, γ = 90.00°
Element x y z (fractional)
1 Sr 0.000 0.000 0.000
2 Ca 0.500 0.500 0.329
3 Ca 0.500 0.500 0.671
4 Si 0.000 0.000 0.500


# 3
This record from Alexandria via LeMat-Bulk describes a crystal of CaTaSi relaxed with PBEsol. The functional is meta-GGA SCAN.

Calculated values
E_tot = -85.1 eV/cell
Symmetry = P-6m2, No. 187

a = 4.605 Å, b = 4.605 Å, c = 3.238 Å
α = 90.00°, β = 90.00°, γ = 120.00°
Element x y z (fractional)
1 Ca 0.000 0.000 0.000
2 Ta 0.333 0.667 0.500
3 Si 0.667 0.333 0.500


# 4
This record from Alexandria via LeMat-Bulk describes a crystal of Ca2TaSi relaxed with PBEsol. The functional is meta-GGA SCAN.

Calculated values
E_tot = -94.0 eV/cell
Symmetry = C2/m, No. 12

a = 5.748 Å, b = 5.748 Å, c = 3.008 Å
α = 93.02°, β = 93.02°, γ = 120.09°
Element x y z (fractional)
1 Ca 0.000 0.500 0.000
2 Ca 0.500 0.000 0.000
3 Ta 0.000 0.000 0.500
4 Si 0.500 0.500 0.500


# 5
This record from Alexandria via LeMat-Bulk describes a crystal of CaTa2Si relaxed with PBEsol. The functional is meta-GGA SCAN.

Calculated values
E_tot = -151.1 eV/cell
Symmetry = I4/mmm, No. 139

a = 5.349 Å, b = 5.349 Å, c = 5.349 Å
α = 135.59°, β = 135.59°, γ = 64.61°
Element x y z (fractional)
1 Ca 0.000 0.000 0.000
2 Ta 0.250 0.750 0.500
3 Ta 0.750 0.250 0.500
4 Si 0.500 0.500 0.000


# 6
This record from Alexandria via LeMat-Bulk describes a crystal of Ca2TaSi relaxed with PBEsol. The functional is meta-GGA SCAN.

Calculated values
E_tot = -94.8 eV/cell
Symmetry = Amm2, No. 38

a = 4.297 Å, b = 6.233 Å, c = 6.233 Å
α = 37.13°, β = 90.00°, γ = 90.00°
Element x y z (fractional)
1 Ca 0.000 0.000 0.000
2 Ca 0.500 0.300 0.300
3 Ta 0.000 0.705 0.705
4 Si 0.500 0.596 0.596


# 7
This record from Alexandria via LeMat-Bulk describes a crystal of CaTa2Si relaxed with PBEsol. The functional is meta-GGA SCAN.

Calculated values
E_tot = -152.0 eV/cell
Symmetry = Immm, No. 71

a = 6.212 Å, b = 6.212 Å, c = 6.212 Å
α = 154.32°, β = 131.73°, γ = 55.47°
Element x y z (fractional)
1 Ca 0.000 0.000 0.000
2 Ta 0.295 0.795 0.500
3 Ta 0.705 0.205 0.500
4 Si 0.500 0.500 0.000


# 8
This record from Alexandria via LeMat-Bulk describes a crystal of CaTa2Si relaxed with PBEsol. The functional is meta-GGA SCAN.

Calculated values
E_tot = -299.4 eV/cell
Symmetry = I-42d, No. 122

a = 9.995 Å, b = 9.995 Å, c = 9.995 Å
α = 154.40°, β = 154.40°, γ = 36.52°
Element x y z (fractional)
1 Ca 0.000 0.000 0.000
2 Ca 0.750 0.250 0.500
3 Ta 0.263 0.625 0.138
4 Ta 0.375 0.513 0.638
5 Ta 0.487 0.125 0.862
6 Ta 0.875 0.737 0.362
7 Si 0.250 0.750 0.500
8 Si 0.500 0.500 0.000


# 9
This record from Alexandria via LeMat-Bulk describes a crystal of CaTa2Si relaxed with PBEsol. The functional is meta-GGA SCAN.

Calculated values
E_tot = -151.2 eV/cell
Symmetry = F-43m, No. 216

a = 4.686 Å, b = 4.686 Å, c = 4.686 Å
α = 60.00°, β = 60.00°, γ = 60.00°
Element x y z (fractional)
1 Ca 0.000 0.000 0.000
2 Ta 0.250 0.250 0.250
3 Ta 0.500 0.500 0.500
4 Si 0.750 0.750 0.750


# 10
This record from Alexandria via LeMat-Bulk describes a crystal of CaTa2ZnSi relaxed with PBEsol. The functional is meta-GGA SCAN.

Calculated values
E_tot = -161.9 eV/cell
Symmetry = P4/mmm, No. 123

a = 4.700 Å, b = 4.700 Å, c = 5.104 Å
α = 90.00°, β = 90.00°, γ = 90.00°
Element x y z (fractional)
1 Ca 0.000 0.000 0.000
2 Ta 0.000 0.500 0.500
3 Ta 0.500 0.000 0.500
4 Zn 0.500 0.500 0.000
5 Si 0.000 0.000 0.500


# 11
This record from Alexandria via LeMat-Bulk describes a crystal of Ca2SiTc relaxed with PBEsol. The functional is meta-GGA SCAN.

Calculated values
E_tot = -65.2 eV/cell
Symmetry = R3m, No. 160

a = 7.922 Å, b = 7.922 Å, c = 7.922 Å
α = 29.78°, β = 29.78°, γ = 29.78°
Element x y z (fractional)
1 Ca 0.000 0.000 0.000
2 Ca 0.176 0.176 0.176
3 Si 0.421 0.421 0.421
4 Tc 0.755 0.755 0.755


# 12
This record from Alexandria via LeMat-Bulk describes a crystal of CaSiTe relaxed with PBEsol. The functional is meta-GGA SCAN.

Calculated values
Polymorph energy (0 for the lowest one) = 0.00 eV/f.u.
E_tot = -57.6 eV/cell
Symmetry = I4mm, No. 107

a = 5.759 Å, b = 5.759 Å, c = 5.759 Å
α = 142.34°, β = 142.34°, γ = 54.32°
Element x y z (fractional)
1 Ca 0.000 0.000 0.000
2 Si 0.681 0.681 0.000
3 Te 0.314 0.314 0.000


# 13
This record from Alexandria via LeMat-Bulk describes a crystal of CaSiTe2 relaxed with PBEsol. The functional is meta-GGA SCAN.

Calculated values
Polymorph energy (0 for the lowest one) = 0.00 eV/f.u.
E_tot = -191.6 eV/cell
Symmetry = I-42d, No. 122

a = 8.560 Å, b = 8.560 Å, c = 8.560 Å
α = 136.00°, β = 136.00°, γ = 63.98°
Element x y z (fractional)
1 Ca 0.000 0.000 0.000
2 Ca 0.750 0.250 0.500
3 Si 0.250 0.750 0.500
4 Si 0.500 0.500 0.000
5 Te 0.167 0.625 0.042
6 Te 0.375 0.417 0.542
7 Te 0.583 0.125 0.958
8 Te 0.875 0.833 0.458


# 14
This record from Alexandria via LeMat-Bulk describes a crystal of CaSi2Te relaxed with PBEsol. The functional is meta-GGA SCAN.

Calculated values
Polymorph energy (0 for the lowest one) = 1.52 eV/f.u.
E_tot = -65.4 eV/cell
Symmetry = Fm-3m, No. 225

a = 5.011 Å, b = 5.011 Å, c = 5.011 Å
α = 60.00°, β = 60.00°, γ = 60.00°
Element x y z (fractional)
1 Ca 0.000 0.000 0.000
2 Si 0.250 0.250 0.250
3 Si 0.750 0.750 0.750
4 Te 0.500 0.500 0.500


# 15
This record from Alexandria via LeMat-Bulk describes a crystal of Ca2SiTe relaxed with PBEsol. The functional is meta-GGA SCAN.

Calculated values
E_tot = -69.6 eV/cell
Symmetry = Cm, No. 8

a = 6.106 Å, b = 6.106 Å, c = 4.773 Å
α = 99.45°, β = 99.45°, γ = 37.54°
Element x y z (fractional)
1 Ca 0.000 0.000 0.000
2 Ca 0.739 0.739 0.523
3 Si 0.262 0.262 0.039
4 Te 0.464 0.464 0.476


# 16
This record from Alexandria via LeMat-Bulk describes a crystal of CaSi2Te relaxed with PBEsol. The functional is meta-GGA SCAN.

Calculated values
Polymorph energy (0 for the lowest one) = 0.00 eV/f.u.
E_tot = -67.0 eV/cell
Symmetry = P4mm, No. 99

a = 3.398 Å, b = 3.398 Å, c = 7.980 Å
α = 90.00°, β = 90.00°, γ = 90.00°
Element x y z (fractional)
1 Ca 0.000 0.000 0.000
2 Si 0.000 0.000 0.378
3 Si 0.500 0.500 0.287
4 Te 0.500 0.500 0.741


# 17
This record from Alexandria via LeMat-Bulk describes a crystal of CaSi2Te relaxed with PBEsol. The functional is meta-GGA SCAN.

Calculated values
Polymorph energy (0 for the lowest one) = 0.97 eV/f.u.
E_tot = -66.0 eV/cell
Symmetry = F-43m, No. 216

a = 5.018 Å, b = 5.018 Å, c = 5.018 Å
α = 60.00°, β = 60.00°, γ = 60.00°
Element x y z (fractional)
1 Ca 0.000 0.000 0.000
2 Si 0.500 0.500 0.500
3 Si 0.750 0.750 0.750
4 Te 0.250 0.250 0.250


# 18
This record from Alexandria via LeMat-Bulk describes a crystal of CaSiTe2 relaxed with PBEsol. The functional is meta-GGA SCAN.

Calculated values
Polymorph energy (0 for the lowest one) = 1.88 eV/f.u.
E_tot = -93.9 eV/cell
Symmetry = F-43m, No. 216

a = 5.277 Å, b = 5.277 Å, c = 5.277 Å
α = 60.00°, β = 60.00°, γ = 60.00°
Element x y z (fractional)
1 Ca 0.000 0.000 0.000
2 Si 0.750 0.750 0.750
3 Te 0.250 0.250 0.250
4 Te 0.500 0.500 0.500


# 19
This record from Alexandria via LeMat-Bulk describes a crystal of CaSiTe relaxed with PBEsol. The functional is meta-GGA SCAN.

Calculated values
Polymorph energy (0 for the lowest one) = 0.43 eV/f.u.
E_tot = -57.2 eV/cell
Symmetry = F-43m, No. 216

a = 4.917 Å, b = 4.917 Å, c = 4.917 Å
α = 60.00°, β = 60.00°, γ = 60.00°
Element x y z (fractional)
1 Ca 0.000 0.000 0.000
2 Si 0.750 0.750 0.750
3 Te 0.500 0.500 0.500


# 20
This record from Alexandria via LeMat-Bulk describes a crystal of CaSi2Te relaxed with PBEsol. The functional is meta-GGA SCAN.

Calculated values
Polymorph energy (0 for the lowest one) = 0.11 eV/f.u.
E_tot = -66.8 eV/cell
Symmetry = Pmm2, No. 25

a = 3.714 Å, b = 3.914 Å, c = 6.070 Å
α = 90.00°, β = 90.00°, γ = 90.00°
Element x y z (fractional)
1 Ca 0.000 0.000 0.000
2 Si 0.000 0.000 0.467
3 Si 0.500 0.500 0.315
4 Te 0.500 0.500 0.752